(1)
A relaxed structure of Ce12TcSn6. Source: the Alexandria database, functional GGA-PBE.

Geometry as POSCAR:
```
Ce12TcSn6
1.0
-3.164 -6.981 -2.203
1.428 -2.406 7.468
-7.062 3.221 1.829
Ce Tc Sn
12 1 6
direct
0.839 0.539 0.458
0.458 0.839 0.539
0.539 0.458 0.839
0.161 0.461 0.542
0.542 0.161 0.461
0.461 0.542 0.161
0.056 0.140 0.373
0.860 0.627 0.944
0.627 0.944 0.860
0.944 0.860 0.627
0.140 0.373 0.056
0.373 0.056 0.140
0.000 0.000 0.000
0.734 0.869 0.249
0.751 0.266 0.131
0.131 0.751 0.266
0.266 0.131 0.751
0.249 0.734 0.869
0.869 0.249 0.734
```

Calculated values
* space-group type: R-3, No. 148
* energy relative to the elements: -331.1 meV/atom

***

(2)
A relaxed structure of Nd3Zn5Au12. Source: the Alexandria database, functional GGA-PBE.

Geometry as POSCAR:
```
Nd3Zn5Au12
1.0
-8.779 8.828 6.047
-3.680 -12.987 3.057
12.832 2.367 4.615
Nd Zn Au
12 20 48
direct
0.750 0.375 0.125
0.875 0.750 0.125
0.375 0.750 0.625
0.250 0.125 0.375
0.875 0.125 0.250
0.375 0.625 0.250
0.625 0.375 0.750
0.125 0.875 0.750
0.750 0.875 0.625
0.625 0.250 0.375
0.125 0.250 0.875
0.250 0.625 0.875
0.125 0.375 0.250
0.000 0.500 0.000
0.000 0.000 0.000
0.375 0.250 0.125
0.500 0.000 0.500
0.500 0.500 0.000
0.125 0.750 0.375
0.750 0.125 0.875
0.750 0.625 0.375
0.375 0.125 0.750
0.625 0.875 0.250
0.500 0.500 0.500
0.500 0.000 0.000
0.000 0.000 0.500
0.250 0.375 0.625
0.250 0.875 0.125
0.000 0.500 0.500
0.875 0.250 0.625
0.625 0.750 0.875
0.875 0.625 0.750
0.712 0.126 0.044
0.332 0.544 0.418
0.956 0.374 0.288
0.544 0.212 0.126
0.586 0.712 0.668
0.956 0.582 0.168
0.332 0.788 0.414
0.082 0.914 0.126
0.582 0.956 0.668
0.712 0.586 0.168
0.788 0.456 0.374
0.832 0.918 0.044
0.126 0.712 0.544
0.374 0.418 0.086
0.086 0.918 0.374
0.414 0.126 0.582
0.086 0.168 0.212
0.456 0.668 0.082
0.832 0.914 0.288
0.126 0.414 0.082
0.374 0.956 0.788
0.582 0.626 0.414
0.918 0.832 0.544
0.788 0.332 0.914
0.418 0.374 0.586
0.082 0.168 0.456
0.212 0.668 0.086
0.168 0.086 0.712
0.626 0.044 0.212
0.874 0.586 0.918
0.544 0.332 0.918
0.586 0.874 0.418
0.914 0.832 0.788
0.914 0.082 0.626
0.874 0.288 0.456
0.168 0.082 0.956
0.626 0.582 0.914
0.418 0.044 0.332
0.288 0.414 0.832
0.212 0.544 0.626
0.918 0.086 0.874
0.668 0.212 0.586
0.456 0.788 0.874
0.044 0.418 0.832
0.414 0.288 0.332
0.044 0.626 0.712
0.668 0.456 0.582
0.288 0.874 0.956
```

Calculated values
* space-group type: Ia-3d, No. 230
* energy relative to the elements: -164.8 meV/atom

***

(3)
A relaxed structure of KSc2NbAs. Source: the Alexandria database, functional GGA-PBE.

Geometry as POSCAR:
```
KSc2NbAs
1.0
-2.708 -4.244 1.466
3.498 -0.974 3.643
-2.729 2.915 3.399
Sc Nb K As
2 1 1 1
direct
0.000 0.000 0.500
0.500 0.000 0.000
0.000 0.000 0.000
0.500 0.500 0.500
0.000 0.500 0.000
```

Calculated values
* space-group type: P4/mmm, No. 123
* energy relative to the elements: 294.7 meV/atom

***

(4)
A relaxed structure of LiLuGa2. Source: the Alexandria database, functional GGA-PBE.

Geometry as POSCAR:
```
LiLuGa2
1.0
3.322 0.000 0.000
0.000 3.322 0.000
0.000 0.000 6.676
Lu Ga Li
1 2 1
direct
0.500 0.500 0.500
0.000 0.000 0.791
0.000 0.000 0.209
0.500 0.500 0.000
```

Calculated values
* space-group type: P4/mmm, No. 123
* energy relative to the elements: -424.8 meV/atom

***

(5)
A relaxed structure of Pu2Be3Si4Ni. Source: the Alexandria database, functional GGA-PBE.

Geometry as POSCAR:
```
Pu2Be3Si4Ni
1.0
3.901 0.000 0.000
0.000 3.901 0.000
0.000 0.000 9.463
Pu Be Si Ni
2 3 4 1
direct
0.500 0.000 0.246
0.000 0.500 0.754
0.000 0.000 0.500
0.500 0.000 0.868
0.000 0.500 0.132
0.500 0.500 0.000
0.000 0.000 0.000
0.500 0.000 0.631
0.000 0.500 0.369
0.500 0.500 0.500
```

Calculated values
* formation energy from raw total energies: -0.412 eV per atom
* space-group type: P-4m2, No. 115

***

(6)
A relaxed structure of SrSO4. Source: the Alexandria database, functional GGA-PBE.

Geometry as POSCAR:
```
SrSO4
1.0
5.104 0.000 0.000
2.552 4.421 0.000
2.552 1.474 4.168
Sr S O
1 1 4
direct
0.500 0.500 0.500
0.000 0.000 0.000
0.881 0.881 0.881
0.357 0.881 0.881
0.881 0.357 0.881
0.881 0.881 0.357
```

Calculated values
* formation energy from raw total energies: -2.001 eV per atom
* space-group type: F-43m, No. 216

***

(7)
A relaxed structure of LiInBRu2. Source: the Alexandria database, functional GGA-PBE.

Geometry as POSCAR:
```
LiInBRu2
1.0
-1.421 2.728 -2.742
0.232 -2.856 -2.962
-3.868 -1.178 0.832
Ru B Li In
2 1 1 1
direct
0.000 0.500 0.000
0.500 0.000 0.000
0.000 0.000 0.000
0.000 0.000 0.500
0.500 0.500 0.500
```

Calculated values
* space-group type: P4/mmm, No. 123
* energy relative to the elements: -58.0 meV/atom

***

(8)
A relaxed structure of CsInPb2. Source: the Alexandria database, functional GGA-PBE.

Geometry as POSCAR:
```
CsInPb2
1.0
5.049 0.000 0.000
2.524 4.372 0.000
2.524 1.457 7.778
Cs In Pb
1 1 2
direct
0.492 0.492 0.525
0.674 0.674 0.977
0.047 0.047 0.858
0.286 0.286 0.141
```

Calculated values
* space-group type: R3m, No. 160
* energy relative to the elements: -26.2 meV/atom

***

(9)
A relaxed structure of ScGa3Sn. Source: the Alexandria database, functional GGA-PBE.

Geometry as POSCAR:
```
ScGa3Sn
1.0
-4.872 0.095 1.839
-1.600 -2.791 -4.096
0.910 -4.397 2.640
Sc Sn Ga
1 1 3
direct
0.500 0.500 0.500
0.000 0.000 0.000
0.000 0.500 0.000
0.000 0.000 0.500
0.500 0.000 0.000
```

Calculated values
* excess energy over the best structure of this formula in the dataset: 130.3 meV/atom
* space-group type: Pm-3m, No. 221
* energy relative to the elements: 587.3 meV/atom

***

(10)
A relaxed structure of AlCdSb2Os. Source: the Alexandria database, functional GGA-PBE.

Geometry as POSCAR:
```
AlCdSb2Os
1.0
5.097 0.000 0.000
0.000 5.097 0.000
0.000 0.000 5.304
Sb Os Al Cd
2 1 1 1
direct
0.000 0.500 0.000
0.500 0.000 0.000
0.000 0.000 0.000
0.500 0.500 0.500
0.000 0.000 0.500
```

Calculated values
* formation energy from raw total energies: 0.628 eV per atom
* space-group type: P4/mmm, No. 123

***

(11)
A relaxed structure of LiCdTe2N. Source: the Alexandria database, functional GGA-PBE.

Geometry as POSCAR:
```
LiCdTe2N
1.0
5.422 0.000 0.000
0.000 5.422 0.000
0.000 0.000 3.566
N Te Li Cd
1 2 1 1
direct
0.000 0.000 0.500
0.000 0.500 0.000
0.500 0.000 0.000
0.000 0.000 0.000
0.500 0.500 0.500
```

Calculated values
* excess energy over the best structure of this formula in the dataset: 0.0 meV/atom
* formation energy from raw total energies: 0.719 eV per atom
* space-group type: P4/mmm, No. 123

***

(12)
A relaxed structure of Dy3NiRh8. Source: the Alexandria database, functional GGA-PBE.

Geometry as POSCAR:
```
Dy3NiRh8
1.0
5.061 0.000 1.501
2.308 4.504 1.501
0.029 0.018 9.184
Dy Ni Rh
3 1 8
direct
0.623 0.623 0.132
0.011 0.011 0.967
0.492 0.492 0.525
0.143 0.143 0.572
0.561 0.060 0.817
0.059 0.560 0.321
0.561 0.561 0.817
0.059 0.059 0.321
0.810 0.810 0.571
0.310 0.310 0.069
0.060 0.561 0.817
0.560 0.059 0.321
```

Calculated values
* space-group type: R3m, No. 160
* energy relative to the elements: -490.1 meV/atom

***

Values of uncorrected energy, in order: -5.89; -3.16; -5.40; -3.55; -7.14; -6.27; -6.03; -2.78; -3.30; -4.20; -2.77; -7.02, all in eV/atom.